A plane-wave DFT calculation with GGA-PBE was carried out for a relaxed Sb4C crystal.

The space group is Im-3m (No. 229) and the conventional cell measures 6.2461, 6.2461 and 6.2461 Å, with angles of 90.00, 90.00 and 90.00 degrees. The asymmetric unit holds Sb at (0.2500, 0.2500, 0.2500) and C at (0.0000, 0.0000, 0.0000).

The calculation puts the uncorrected formation energy at 0.94 eV/atom. For the density of states at the Fermi level, the calculation gives 0.596 states/eV/atom. The energy above the most stable polymorph in this dataset is 38 meV/atom.

***

A plane-wave DFT calculation with GGA-PBE was carried out for a relaxed LaZr2ScO crystal.

The space group is P4/mmm (No. 123) and the conventional cell measures 4.5605, 4.5605 and 5.1083 Å, with angles of 90.00, 90.00 and 90.00 degrees. The asymmetric unit holds La at (0.0000, 0.0000, 0.0000), Zr at (0.0000, 0.5000, 0.5000), Sc at (0.5000, 0.5000, 0.0000) and O at (0.0000, 0.0000, 0.5000).

The calculation puts the uncorrected formation energy at -1.03 eV/atom. For the density of states at the Fermi level, the calculation gives 0.694 states/eV/atom.

***

A plane-wave DFT calculation with GGA-PBE was carried out for a relaxed KAlCu3 crystal.

The space group is Pm-3m (No. 221) and the conventional cell measures 5.0562, 5.0562 and 5.0562 Å, with angles of 90.00, 90.00 and 90.00 degrees. The asymmetric unit holds K at (0.0000, 0.0000, 0.0000), Al at (0.5000, 0.5000, 0.5000) and Cu at (0.0000, 0.0000, 0.5000).

For the density of states at the Fermi level, the calculation gives 0.663 states/eV/atom. The energy above the most stable polymorph in this dataset is 1273 meV/atom. The formation energy from the elements comes out at 801 kJ/mol of formula units.

***

A plane-wave DFT calculation with GGA-PBE was carried out for a relaxed PmCdSiHg crystal.

The space group is F-43m (No. 216) and the conventional cell measures 7.1963, 7.1963 and 7.1963 Å, with angles of 90.00, 90.00 and 90.00 degrees. The asymmetric unit holds Pm at (0.0000, 0.0000, 0.0000), Cd at (0.0000, 0.0000, 0.5000), Si at (0.2500, 0.2500, 0.7500) and Hg at (0.2500, 0.2500, 0.2500).

The calculation puts the uncorrected formation energy at -0.17 eV/atom. For the density of states at the Fermi level, the calculation gives 0.890 states/eV/atom.

***

A plane-wave DFT calculation with GGA-PBE was carried out for a relaxed SmHo4Th2 crystal.

The space group is P-1 (No. 2) and the conventional cell measures 3.5008, 8.7475 and 8.8007 Å, with angles of 119.50, 90.06 and 101.47 degrees. The asymmetric unit holds Sm at (0.0000, 0.0000, 0.0000), Ho at (0.2955, 0.5887, 0.7058), Ho at (0.3521, 0.7061, 0.1532) and Th at (0.0683, 0.1380, 0.4360).

For the density of states at the Fermi level, the calculation gives 1.719 states/eV/atom. The energy above the most stable polymorph in this dataset is 0 meV/atom. The formation energy from the elements comes out at 64 kJ/mol of formula units.

***

A plane-wave DFT calculation with GGA-PBE was carried out for a relaxed CsCaZn2F8 crystal.

The space group is R32 (No. 155, hexagonal axes) and the conventional cell measures 5.6407, 5.6407 and 24.5030 Å, with angles of 90.00, 90.00 and 120.00 degrees. The asymmetric unit holds Cs at (0.0000, 0.0000, 0.0000), Ca at (0.0000, 0.0000, 0.5000), Zn at (0.0000, 0.0000, 0.2482), F at (0.0000, 0.0000, 0.3250) and F at (0.0012, 0.3620, 0.1093).

The calculation puts the uncorrected formation energy at -2.53 eV/atom. For the density of states at the Fermi level, the calculation gives 1.256 states/eV/atom.

***

A plane-wave DFT calculation with GGA-PBE was carried out for a relaxed Tb2Er5Th2 crystal.

The space group is P-1 (No. 2) and the conventional cell measures 3.5796, 7.3750 and 11.6103 Å, with angles of 94.90, 90.20 and 104.03 degrees. The asymmetric unit holds Tb at (0.0809, 0.1534, 0.3336), Er at (0.0000, 0.0000, 0.0000), Er at (0.2065, 0.4185, 0.6094), Er at (0.3903, 0.7773, 0.1845) and Th at (0.3067, 0.6156, 0.8908).

For the density of states at the Fermi level, the calculation gives 1.670 states/eV/atom. The energy above the most stable polymorph in this dataset is 0 meV/atom. The formation energy from the elements comes out at 139 kJ/mol of formula units.

***

A plane-wave DFT calculation with GGA-PBE was carried out for a relaxed Pa2MoPd crystal.

The space group is Fm-3m (No. 225) and the conventional cell measures 6.9654, 6.9654 and 6.9654 Å, with angles of 90.00, 90.00 and 90.00 degrees. The asymmetric unit holds Pa at (0.2500, 0.2500, 0.2500), Mo at (0.0000, 0.0000, 0.0000) and Pd at (0.0000, 0.0000, 0.5000).

For the density of states at the Fermi level, the calculation gives 1.724 states/eV/atom. The energy above the most stable polymorph in this dataset is 45 meV/atom. The formation energy from the elements comes out at -30 kJ/mol of formula units.

***

A plane-wave DFT calculation with GGA-PBE was carried out for a relaxed Dy6CoBi3 crystal.

The space group is Cmc2_1 (No. 36) and the conventional cell measures 11.5093, 14.4354 and 7.5440 Å, with angles of 90.00, 90.00 and 90.00 degrees. The asymmetric unit holds Dy at (0.0000, 0.0092, 0.0000), Dy at (0.0000, 0.2422, 0.5324), Dy at (0.1497, 0.2420, 0.0843), Dy at (0.1644, 0.4609, 0.5674), Co at (0.0000, 0.1360, 0.2538), Bi at (0.0000, 0.3915, 0.8754) and Bi at (0.1829, 0.1109, 0.7500).

For the density of states at the Fermi level, the calculation gives 1.049 states/eV/atom. The formation energy from the elements comes out at -315 kJ/mol of formula units.

***

A plane-wave DFT calculation with GGA-PBE was carried out for a relaxed FeIrCl2 crystal.

The space group is P4mm (No. 99) and the conventional cell measures 2.9515, 2.9515 and 8.5565 Å, with angles of 90.00, 90.00 and 90.00 degrees. The asymmetric unit holds Fe at (0.0000, 0.0000, 0.0000), Ir at (0.5000, 0.5000, 0.1906), Cl at (0.0000, 0.0000, 0.3947) and Cl at (0.5000, 0.5000, 0.8188).

The calculation puts the uncorrected formation energy at 0.21 eV/atom. For the density of states at the Fermi level, the calculation gives 1.402 states/eV/atom. The energy above the most stable polymorph in this dataset is 280 meV/atom.

***

Here are the calculated mass density numbers, same order: 6.801 5.975 3.298 8.664 9.266 3.363 9.073 13.059 8.802 7.106 (g cm⁻³).